1.
A plane-wave DFT calculation with GGA-PBE was carried out for crystalline CaYAu4 at its relaxed geometry.

```
CaYAu4
1.0
0.000 4.016 4.016
4.016 0.000 4.016
4.016 4.016 0.000
Ca Y Au
1 1 4
Cartesian
6.023 6.023 6.023 Ca
0.000 0.000 0.000 Y
3.013 5.018 5.018 Au
5.018 5.018 3.013 Au
5.018 3.013 5.018 Au
3.013 3.013 3.013 Au
```

---

2.
A plane-wave DFT calculation with GGA-PBE was carried out for crystalline CaYAu3 at its relaxed geometry.

```
CaYAu3
1.0
5.382 0.000 0.000
0.000 5.382 0.000
0.000 0.000 5.382
Y Ca Au
1 1 3
Cartesian
0.000 0.000 0.000 Y
2.691 2.691 2.691 Ca
0.000 2.691 0.000 Au
0.000 0.000 2.691 Au
2.691 0.000 0.000 Au
```

---

3.
A plane-wave DFT calculation with GGA-PBE was carried out for crystalline CaYAu2 at its relaxed geometry.

```
CaYAu2
1.0
4.192 0.000 0.000
0.000 4.192 0.000
0.000 0.000 6.031
Y Ca Au
1 1 2
Cartesian
2.096 2.096 5.076 Y
0.000 0.000 2.454 Ca
0.000 0.000 5.488 Au
2.096 2.096 2.060 Au
```

---

4.
A plane-wave DFT calculation with GGA-PBE was carried out for crystalline CaYAu2 at its relaxed geometry.

```
CaYAu2
1.0
-3.135 6.745 -2.177
0.290 -2.256 -7.409
-4.833 0.762 -4.475
Y Ca Au
2 2 4
Cartesian
0.000 0.000 0.000 Y
-4.695 4.876 -5.722 Y
-1.422 2.245 -4.793 Ca
-2.983 0.375 -8.338 Ca
-3.154 4.173 -3.421 Au
-1.396 -0.425 -6.006 Au
-4.693 2.272 -6.897 Au
-6.112 4.483 -11.798 Au
```

---

Looking at ΔH_f (0 K) for the records above, in order, we have -0.5611; -0.1502; -0.7130; -0.4725 eV per atom.
Looking at DOS at the Fermi energy for the records above, in order, we have 1.208; 0.484; 0.466; 0.722 states/eV per atom.